# LaAlMo2 PBE optimized geometry
# energy relative to the elements: 577 meV per atom
# N(E_F): 0.862 states/eV per atom
# E_tot: -7.01 eV/atom
data_LaAlMo2
_cell_length_a 6.101
_cell_length_b 9.135
_cell_length_c 2.746
_cell_angle_alpha 90.00
_cell_angle_beta 90.00
_cell_angle_gamma 90.00
_space_group_name_H-M_alt 'C m m m'
_space_group_IT_number 65
_space_group_name_Hall '-C 2 2'
loop_
_atom_site_label
_atom_site_type_symbol
_atom_site_fract_x
_atom_site_fract_y
_atom_site_fract_z
La1 La 0.000 0.000 0.000
Al1 Al 0.000 0.500 0.000
Mo1 Mo 0.250 0.250 0.500